# Zn2AgPt

A geometry-optimized Zn2AgPt structure (PBEsol, Alexandria).

Unit cell a=2.8500 b=4.5011 c=4.9876 alpha=108.66 beta=106.60 gamma=90.00
With the nearest neighbours (Å) after each atom.
Element x y z (fractional)
1 Zn 0.0040 0.9407 0.0080  3 Pt 2.62-2.69, 4 Ag 2.64-2.69, 4 Zn 2.72-2.85
2 Zn 0.7424 0.3031 0.4849  3 Ag 2.65-2.68, 4 Pt 2.66-2.67, 4 Zn 2.72-2.85
3 Ag 0.4928 0.4391 0.9857  7 Zn 2.64-2.69, 2 Ag 2.85, 3 Pt 2.93
4 Pt 0.2607 0.8172 0.5214  7 Zn 2.62-2.69, 2 Pt 2.85, 3 Ag 2.93

Calculated values
The formation energy is -1.16 eV/f.u. The value obtained for the density is 12.46 Mg/m³.

=====

# Ga3TePd

A geometry-optimized Ga3TePd structure (PBEsol, Alexandria).

Unit cell a=5.1979 b=5.1979 c=5.1979 alpha=90.00 beta=90.00 gamma=90.00
With the nearest neighbours (Å) after each atom.
Element x y z (fractional)
1 Te 0.0000 0.0000 0.0000  6 Ga 2.60
2 Ga 0.0000 0.5000 0.0000  2 Te 2.60
3 Ga 0.0000 0.0000 0.5000  2 Te 2.60
4 Ga 0.5000 0.0000 0.0000  2 Te 2.60
5 Pd 0.5000 0.5000 0.5000  12 Ga 3.68

Calculated values
The calculation puts the formation energy from raw total energies at 4.93 eV per formula unit. The value obtained for the density is 5.24 Mg/m³.